Entry 1:
A plane-wave DFT calculation with GGA-PBE was carried out for IrC3Se after structural relaxation.

Computed properties:
**Formation energy without anion corrections**: 3.00 eV/atom
**Energy above the most stable polymorph in this dataset**: 865.0 meV/atom

abc: 3.8345 3.8345 3.8345
angles: 90.00 90.00 90.00
With the nearest neighbours (Å) after each atom.
Positions (direct):
Se 0.0000 0.0000 0.0000  6 C 1.92
Ir 0.5000 0.5000 0.5000  12 C 2.71
C 0.5000 0.0000 0.0000  2 Se 1.92
C 0.0000 0.5000 0.0000  2 Se 1.92
C 0.0000 0.0000 0.5000  2 Se 1.92

=====

Entry 2:
A plane-wave DFT calculation with GGA-PBE was carried out for LiTi2Cl6 after structural relaxation.

Computed properties:
**Formation energy without anion corrections**: -1.51 eV/atom
**Energy above the most stable polymorph in this dataset**: 100.9 meV/atom

abc: 6.7168 9.2366 9.2366
angles: 70.30 72.90 72.90
With the nearest neighbours (Å) after each atom.
Positions (direct):
Cl 0.7730 0.9530 0.3650  2 Ti 2.32-2.41
Cl 0.7270 0.6350 0.0470  2 Ti 2.32-2.41
Cl 0.3878 0.9733 0.2047  1 Ti 2.40, 2 Li 2.44-2.54
Cl 0.2270 0.0470 0.6350  2 Ti 2.32-2.41
Cl 0.0512 0.2948 0.3377  2 Ti 2.35-2.58
Cl 0.4488 0.6623 0.7052  2 Ti 2.35-2.58
Cl 0.5512 0.3377 0.2948  2 Ti 2.35-2.58
Cl 0.6122 0.0267 0.7953  1 Ti 2.40, 2 Li 2.44-2.54
Cl 0.9488 0.7052 0.6623  2 Ti 2.35-2.58
Cl 0.8878 0.2047 0.9733  1 Ti 2.40, 2 Li 2.44-2.54
Cl 0.1122 0.7953 0.0267  1 Ti 2.40, 2 Li 2.44-2.54
Cl 0.2730 0.3650 0.9530  2 Ti 2.32-2.41
Li 0.7500 0.9558 0.0442  4 Cl 2.44-2.54
Li 0.2500 0.0442 0.9558  4 Cl 2.44-2.54
Ti 0.4148 0.1093 0.3759  5 Cl 2.32-2.58
Ti 0.5852 0.8907 0.6241  5 Cl 2.32-2.58
Ti 0.0852 0.6241 0.8907  5 Cl 2.32-2.58
Ti 0.9148 0.3759 0.1093  5 Cl 2.32-2.58

=====

Entry 3:
A plane-wave DFT calculation with GGA-PBE was carried out for BaUFeS5 after structural relaxation.

Computed properties:
**Formation energy without anion corrections**: -1.15 eV/atom

abc: 7.2262 7.2262 9.6901
angles: 104.17 104.17 105.32
With the nearest neighbours (Å) after each atom.
Positions (direct):
S 0.6236 0.7633 0.9138  1 Fe 2.25
S 0.7633 0.6236 0.4138  1 Fe 2.25
S 0.1080 0.6878 0.8959  1 Fe 2.27
S 0.9270 0.0730 0.7500  2 U 2.56
S 0.2367 0.3764 0.5862  1 Fe 2.25
S 0.8920 0.3122 0.1041  1 Fe 2.27
S 0.0730 0.9270 0.2500  2 U 2.56
S 0.3764 0.2367 0.0862  1 Fe 2.25
S 0.6878 0.1080 0.3959  1 Fe 2.27
S 0.3122 0.8920 0.6041  1 Fe 2.27
Ba 0.3416 0.6584 0.2500  5 S 3.09-3.25
Ba 0.6584 0.3416 0.7500  5 S 3.09-3.25
Fe 0.3114 0.6886 0.7500  4 S 2.25-2.27
Fe 0.6886 0.3114 0.2500  4 S 2.25-2.27
U 0.0000 0.0000 0.0000  6 S 2.56-2.63
U 0.0000 0.0000 0.5000  6 S 2.56-2.63

=====

Entry 4:
A plane-wave DFT calculation with GGA-PBE was carried out for TlVCd3 after structural relaxation.

Computed properties:
**Formation enthalpy at 0 K**: 595 meV per atom
**Energy above the most stable polymorph in this dataset**: 0.0 meV/atom

abc: 5.3789 5.3789 5.3789
angles: 90.00 90.00 90.00
With the nearest neighbours (Å) after each atom.
Positions (direct):
V 0.0000 0.0000 0.0000  6 Cd 2.69
Tl 0.5000 0.5000 0.5000  12 Cd 3.80
Cd 0.0000 0.0000 0.5000  2 V 2.69
Cd 0.5000 0.0000 0.0000  2 V 2.69
Cd 0.0000 0.5000 0.0000  2 V 2.69

=====

Entry 5:
A plane-wave DFT calculation with GGA-PBE was carried out for RbSbPBr2 after structural relaxation.

Computed properties:
**Formation energy without anion corrections**: -0.40 eV/atom

abc: 5.9709 4.9672 5.9709
angles: 90.00 90.00 90.00
With the nearest neighbours (Å) after each atom.
Positions (direct):
Br 0.5000 0.0000 0.0000  2 Sb 2.99
Br 0.0000 0.0000 0.5000  2 Sb 2.99
Rb 0.5000 0.5000 0.5000  8 Br 3.88, 4 P 4.22
Sb 0.0000 0.0000 0.0000  2 P 2.48
P 0.0000 0.5000 0.0000  2 Sb 2.48

=====

Entry 6:
A plane-wave DFT calculation with GGA-PBE was carried out for HfMn2ReBi after structural relaxation.

Computed properties:
**Formation enthalpy at 0 K**: 1943 meV per atom

abc: 4.7144 5.4327 4.7144
angles: 90.00 90.00 90.00
With the nearest neighbours (Å) after each atom.
Positions (direct):
Hf 0.0000 0.0000 0.0000  4 Mn 2.36
Mn 0.0000 0.0000 0.5000  2 Hf 2.36
Mn 0.5000 0.0000 0.0000  2 Hf 2.36
Bi 0.0000 0.5000 0.0000  2 Hf 2.72
Re 0.5000 0.5000 0.5000  4 Bi 3.33, 8 Mn 3.60

=====

Entry 7:
A plane-wave DFT calculation with GGA-PBE was carried out for Mn5Zn4 after structural relaxation.

Computed properties:
**Formation enthalpy at 0 K**: 115 meV per atom
**Energy above the most stable polymorph in this dataset**: 0.0 meV/atom

abc: 6.6528 6.6528 6.6528
angles: 92.65 92.65 155.18
With the nearest neighbours (Å) after each atom.
Positions (direct):
Zn 0.3294 0.0000 0.3294  4 Mn 2.57, 6 Zn 2.64-2.86
Zn 0.0000 0.6706 0.6706  4 Mn 2.57, 6 Zn 2.64-2.86
Zn 0.0000 0.3294 0.3294  4 Mn 2.57, 6 Zn 2.64-2.86
Zn 0.6706 0.0000 0.6706  4 Mn 2.57, 6 Zn 2.64-2.86
Mn 0.0000 0.0000 0.0000  10 Mn 2.57-2.86
Mn 0.3358 0.6642 0.0000  6 Mn 2.57-2.86, 4 Zn 2.57
Mn 0.3358 0.3358 0.6717  6 Mn 2.57-2.86, 4 Zn 2.57
Mn 0.6642 0.6642 0.3283  6 Mn 2.57-2.86, 4 Zn 2.57
Mn 0.6642 0.3358 0.0000  6 Mn 2.57-2.86, 4 Zn 2.57

=====

Entry 8:
A plane-wave DFT calculation with GGA-PBE was carried out for Sr2CdIn4Hg3 after structural relaxation.

Computed properties:
**Formation enthalpy at 0 K**: -295 meV per atom

abc: 4.7555 4.7555 12.5686
angles: 90.00 90.00 90.00
With the nearest neighbours (Å) after each atom.
Positions (direct):
Hg 0.0000 0.0000 0.5000  4 In 2.92
Hg 0.0000 0.5000 0.1436  5 In 2.79-2.98
Hg 0.5000 0.0000 0.8564  5 In 2.79-2.98
In 0.0000 0.5000 0.3656  3 Hg 2.79-2.92, 2 Cd 2.92
In 0.0000 0.0000 0.0000  4 Hg 2.98
In 0.5000 0.5000 0.0000  4 Hg 2.98
In 0.5000 0.0000 0.6344  3 Hg 2.79-2.92, 2 Cd 2.92
Cd 0.5000 0.5000 0.5000  4 In 2.92
Sr 0.0000 0.5000 0.7467  6 Hg 3.63-3.91, 8 In 3.65-3.97, 2 Cd 3.91
Sr 0.5000 0.0000 0.2533  6 Hg 3.63-3.91, 8 In 3.65-3.97, 2 Cd 3.91

=====

Entry 9:
A plane-wave DFT calculation with GGA-PBE was carried out for NiBi2AuBr after structural relaxation.

Computed properties:
**Formation energy without anion corrections**: 0.92 eV/atom

abc: 5.5800 5.1613 5.5800
angles: 90.00 90.00 90.00
With the nearest neighbours (Å) after each atom.
Positions (direct):
Bi 0.0000 0.0000 0.5000  2 Au 2.79
Bi 0.5000 0.0000 0.0000  2 Au 2.79
Br 0.0000 0.5000 0.0000  2 Au 2.58
Ni 0.5000 0.5000 0.5000  8 Bi 3.80, 4 Br 3.95
Au 0.0000 0.0000 0.0000  2 Br 2.58, 4 Bi 2.79

=====

Entry 10:
A plane-wave DFT calculation with GGA-PBE was carried out for YAl2Cu after structural relaxation.

Computed properties:
**Formation enthalpy at 0 K**: -132 meV per atom

abc: 4.6944 4.6944 4.6944
angles: 60.00 60.00 60.00
With the nearest neighbours (Å) after each atom.
Positions (direct):
Al 0.2500 0.2500 0.2500  4 Cu 2.87, 4 Y 2.87
Al 0.7500 0.7500 0.7500  4 Cu 2.87, 4 Y 2.87
Y 0.5000 0.5000 0.5000  8 Al 2.87
Cu 0.0000 0.0000 0.0000  8 Al 2.87

=====

Entry 11:
A plane-wave DFT calculation with GGA-PBE was carried out for NaPmTm after structural relaxation.

Computed properties:
**Formation enthalpy at 0 K**: 136 meV per atom
**Energy above the most stable polymorph in this dataset**: 0.0 meV/atom

abc: 3.5493 3.5493 9.1850
angles: 90.00 90.00 120.00
With the nearest neighbours (Å) after each atom.
Positions (direct):
Na 0.0000 0.0000 0.0033  6 Na 3.55, 3 Tm 3.77, 3 Pm 3.85
Pm 0.3333 0.6667 0.6488  3 Tm 3.44, 6 Pm 3.55, 3 Na 3.85
Tm 0.6667 0.3333 0.3479  3 Pm 3.44, 6 Tm 3.55, 3 Na 3.77

=====

Entry 12:
A plane-wave DFT calculation with GGA-PBE was carried out for PaHIr after structural relaxation.

Computed properties:
**Energy above the most stable polymorph in this dataset**: 234.8 meV/atom

abc: 3.6764 3.8315 3.8315
angles: 120.00 90.00 90.00
With the nearest neighbours (Å) after each atom.
Positions (direct):
H 0.1669 0.6667 0.3333  3 Ir 2.21
Ir 0.1666 0.0000 0.0000  3 H 2.21
Pa 0.6665 0.3333 0.6667  6 H 2.88, 6 Ir 2.88

=====

For each record above, in turn, the calculated uncorrected energy values are -0.3675; -0.3462; -0.4732; -0.1655; -0.2329; -0.5131; -0.4076; -0.1403; -0.2042; -0.3413; -0.2483; -0.5563 Ry per atom.
For each record above, in turn, the calculated spin magnetization values are 0.00; 0.94; 5.42; 4.10; 0.24; 2.83; 8.14; 0.00; 0.33; 0.00; 0.00; 0.00 μB per formula unit.